Record 1
Crystalline Sc2OsF at its relaxed geometry. Source: Alexandria, functional PBEsol.

Unit cell a=3.2353 b=3.2353 c=8.0647 alpha=78.43 beta=78.43 gamma=60.00
Closest atoms and distances in Å follow each position.
Element x y z (fractional)
Os1 0.5000 0.5000 0.5000  6 Sc 2.65
Sc1 0.9133 0.9133 0.2602  1 F 2.04
Sc2 0.0867 0.0867 0.7398  1 F 2.04
F1 0.0000 0.0000 0.0000  2 Sc 2.04

Properties
Calculated volume   17.779 Å³ per atom
E_tot   -8.005 eV/atom
Formation energy from raw total energies   -450 kJ/mol of formula units



Record 2
Crystalline CaAgBiO5 at its relaxed geometry. Source: Alexandria, functional PBEsol.

Unit cell a=5.7654 b=8.7262 c=10.8404 alpha=90.00 beta=90.00 gamma=107.64
Closest atoms and distances in Å follow each position.
Element x y z (fractional)
O1 0.7439 0.5568 0.7200  1 Ag 1.99, 1 Bi 2.14
Ca1 0.5254 0.1623 0.1076  6 O 2.27-2.47
O2 0.8591 0.3244 0.9761  1 Ag 1.98, 1 Bi 2.16
O3 0.2561 0.9432 0.2200  1 Ag 1.99, 1 Bi 2.14
O4 0.3116 0.8208 0.4840  1 Ag 2.02, 1 Bi 2.14
Ca2 0.4746 0.8377 0.8924  6 O 2.27-2.47
Bi1 0.0381 0.6588 0.5947  6 O 2.12-2.18
Bi2 0.9619 0.3412 0.4053  6 O 2.12-2.18
O5 0.7803 0.3413 0.2356  1 Ag 2.01, 1 Bi 2.12
O6 0.2197 0.1587 0.7356  1 Ag 2.01, 1 Bi 2.12
O7 0.2197 0.6587 0.7644  1 Ag 2.01, 1 Bi 2.12
Ag1 0.9287 0.6146 0.8768  4 O 1.98-2.02
O8 0.1409 0.1756 0.4761  1 Ag 1.98, 1 Bi 2.16
O9 0.2244 0.4924 0.5336  2 Bi 2.16-2.18, 1 Ca 2.39
O10 0.2561 0.4432 0.2800  1 Ag 1.99, 1 Bi 2.14
O11 0.7756 0.0076 0.0336  2 Bi 2.16-2.18, 1 Ca 2.39
O12 0.1409 0.6756 0.0239  1 Ag 1.98, 1 Bi 2.16
Bi3 0.0381 0.1588 0.9053  6 O 2.12-2.18
O13 0.7439 0.0568 0.7800  1 Ag 1.99, 1 Bi 2.14
Ag2 0.0713 0.8854 0.3768  4 O 1.98-2.02
O14 0.3116 0.3208 0.0160  1 Ag 2.02, 1 Bi 2.14
O15 0.2244 0.9924 0.9664  2 Bi 2.16-2.18, 1 Ca 2.39
O16 0.6884 0.1792 0.5160  1 Ag 2.02, 1 Bi 2.14
O17 0.7803 0.8413 0.2644  1 Ag 2.01, 1 Bi 2.12
Bi4 0.9619 0.8412 0.0947  6 O 2.12-2.18
O18 0.6884 0.6792 0.9840  1 Ag 2.02, 1 Bi 2.14
Ag3 0.9287 0.1146 0.6232  4 O 1.98-2.02
Ag4 0.0713 0.3854 0.1232  4 O 1.98-2.02
O19 0.8591 0.8244 0.5239  1 Ag 1.98, 1 Bi 2.16
O20 0.7756 0.5076 0.4664  2 Bi 2.16-2.18, 1 Ca 2.39
Ca3 0.4746 0.3377 0.6076  6 O 2.27-2.47
Ca4 0.5254 0.6623 0.3924  6 O 2.27-2.47

Properties
Calculated volume   16.242 Å³ per atom
E_tot   -5.593 eV/atom
Formation energy from raw total energies   -846 kJ/mol of formula units



Record 3
Crystalline Y3CrSn at its relaxed geometry. Source: Alexandria, functional PBEsol.

Unit cell a=5.0515 b=5.0515 c=5.0515 alpha=90.00 beta=90.00 gamma=90.00
Closest atoms and distances in Å follow each position.
Element x y z (fractional)
Y1 0.0000 0.0000 0.5000  2 Cr 2.53
Y2 0.0000 0.5000 0.0000  2 Cr 2.53
Cr1 0.0000 0.0000 0.0000  6 Y 2.53
Sn1 0.5000 0.5000 0.5000  12 Y 3.57
Y3 0.5000 0.0000 0.0000  2 Cr 2.53

Properties
Calculated volume   25.780 Å³ per atom
E_tot   -6.805 eV/atom
Energy above the lowest structure with this stoichiometry   0.000 eV/atom